Record 1
Tl4MoRh | Alexandria via LeMat-Bulk | GGA-PBE | optimized geometry; E = -3.45 eV per atom; crystal system = cubic; total moment = 4.797 μB per formula unit; formation energy = 1.160 eV/atom
1.0
-2.166 -5.432 1.510
0.846 -2.143 5.583
-4.669 -0.438 3.806
Tl Mo Rh
4 1 1
direct
0.876 0.375 0.375
0.375 0.375 0.876
0.375 0.876 0.375
0.375 0.375 0.375
0.750 0.750 0.750
0.000 0.000 0.000

***

Record 2
Tl2MoRh | Alexandria via LeMat-Bulk | GGA-PBE | optimized geometry; excess energy over the best structure of this formula in the dataset = 5.99 kcal/mol of atoms; E = -5.18 eV per atom; crystal system = tetragonal; total moment = 0.000 μB per formula unit; formation energy = 0.552 eV/atom
1.0
4.833 0.012 0.000
-0.015 4.833 0.000
0.000 0.000 3.207
Mo Rh Tl
1 1 2
direct
0.500 0.000 0.500
0.000 0.500 0.500
0.000 0.000 0.000
0.500 0.500 0.000

***

Record 3
Tl2MoRh | Alexandria via LeMat-Bulk | GGA-PBE | optimized geometry; excess energy over the best structure of this formula in the dataset = 0.00 kcal/mol of atoms; E = -5.44 eV per atom; crystal system = tetragonal; total moment = 0.000 μB per formula unit; formation energy = 0.292 eV/atom
1.0
-2.571 1.639 -0.398
-1.510 -1.913 1.877
2.156 5.053 6.885
Mo Rh Tl
1 1 2
direct
0.000 0.000 0.543
0.500 0.500 0.707
0.000 0.000 0.959
0.500 0.500 0.290

***

Record 4
Tl2MoRh | Alexandria via LeMat-Bulk | GGA-PBE | optimized geometry; excess energy over the best structure of this formula in the dataset = 6.72 kcal/mol of atoms; E = -5.14 eV per atom; crystal system = monoclinic; total moment = 0.236 μB per formula unit; formation energy = 0.584 eV/atom
1.0
-3.506 -2.780 -1.764
-1.057 -3.033 -3.579
1.302 -4.855 2.433
Mo Rh Tl
1 1 2
direct
0.750 0.750 0.750
0.250 0.250 0.250
0.997 0.997 0.005
0.503 0.503 0.495

***

Record 5
Tl2MoRh | Alexandria via LeMat-Bulk | GGA-PBE | optimized geometry; excess energy over the best structure of this formula in the dataset = 6.24 kcal/mol of atoms; E = -5.17 eV per atom; crystal system = trigonal; total moment = 0.001 μB per formula unit; formation energy = 0.563 eV/atom
1.0
9.208 0.009 0.005
8.673 3.091 0.005
8.673 1.504 2.701
Mo Rh Tl
1 1 2
direct
0.250 0.250 0.250
0.750 0.750 0.750
0.003 0.003 0.003
0.497 0.497 0.497

***

Record 6
Tl2MoRh | Alexandria via LeMat-Bulk | GGA-PBE | optimized geometry; excess energy over the best structure of this formula in the dataset = 7.46 kcal/mol of atoms; E = -5.11 eV per atom; crystal system = monoclinic; total moment = 0.572 μB per formula unit; formation energy = 0.616 eV/atom
1.0
-2.417 -1.826 3.441
1.164 -2.713 -0.621
4.377 0.693 3.443
Mo Rh Tl
1 1 2
direct
0.500 0.250 0.250
0.500 0.750 0.750
0.000 0.958 0.997
0.000 0.542 0.503

***

Record 7
Tl2MoRh | Alexandria via LeMat-Bulk | GGA-PBE | optimized geometry; excess energy over the best structure of this formula in the dataset = 13.42 kcal/mol of atoms; E = -4.85 eV per atom; crystal system = tetragonal; total moment = 1.678 μB per formula unit; formation energy = 0.874 eV/atom
1.0
-3.686 1.244 -6.526
1.656 -7.056 -2.281
-3.473 -3.872 -3.200
Tl Rh Mo
4 2 2
direct
0.639 0.125 0.250
0.111 0.625 0.250
0.375 0.361 0.750
0.875 0.889 0.750
0.000 0.000 0.000
0.750 0.250 0.500
0.500 0.500 0.000
0.250 0.750 0.500

***

Record 8
Tl2MoRh | Alexandria via LeMat-Bulk | GGA-PBE | optimized geometry; excess energy over the best structure of this formula in the dataset = 10.74 kcal/mol of atoms; E = -4.97 eV per atom; crystal system = cubic; total moment = 1.692 μB per formula unit; formation energy = 0.758 eV/atom
1.0
4.811 0.000 0.000
2.406 4.166 0.000
2.406 1.389 3.928
Mo Rh Tl
1 1 2
direct
0.500 0.500 0.500
0.250 0.250 0.250
0.000 0.000 0.000
0.750 0.750 0.750

***

Q: Which of these has the lowest E?
A: number 3